# 1
Compound: SiAs
Source: Alexandria
Functional: meta-GGA SCAN
Structure: PBEsol geometry

a = 2.7920 Å, b = 2.7920 Å, c = 4.9857 Å
α = 90.00°, β = 90.00°, γ = 120.00°
With the nearest neighbours (Å) after each atom.
Fractional coordinates of all 2 atoms:
As  0.0000  0.0000  0.0000  6 As 2.79, 6 Si 2.97
Si  0.3333  0.6667  0.5000  6 Si 2.79, 6 As 2.97

Results
Raw total energy in eV for the cell shown: -28.888
SG: P-6m2, No. 187

***

# 2
Compound: SiAs
Source: Alexandria
Functional: meta-GGA SCAN
Structure: PBEsol geometry

a = 3.6732 Å, b = 8.1772 Å, c = 9.5117 Å
α = 105.45°, β = 90.00°, γ = 102.98°
With the nearest neighbours (Å) after each atom.
Fractional coordinates of all 12 atoms:
As  0.1527  0.3053  0.0441  3 Si 2.38-2.40
As  0.1619  0.3238  0.6769  3 Si 2.38-2.39
As  0.4641  0.9283  0.6751  3 Si 2.39-2.41
As  0.8381  0.6762  0.3231  3 Si 2.38-2.39
As  0.8473  0.6947  0.9559  3 Si 2.38-2.40
As  0.5359  0.0717  0.3249  3 Si 2.39-2.41
Si  0.7612  0.5225  0.7078  1 Si 2.33, 3 As 2.38-2.39
Si  0.1315  0.2630  0.4171  1 Si 2.33, 3 As 2.38-2.39
Si  0.5669  0.1338  0.0903  1 Si 2.34, 3 As 2.40-2.41
Si  0.8685  0.7370  0.5829  1 Si 2.33, 3 As 2.38-2.39
Si  0.2388  0.4775  0.2922  1 Si 2.33, 3 As 2.38-2.39
Si  0.4331  0.8662  0.9097  1 Si 2.34, 3 As 2.40-2.41

Results
Raw total energy in eV for the cell shown: -182.433
SG: C2/m, No. 12

***

# 3
Compound: SiAs5
Source: Alexandria
Functional: meta-GGA SCAN
Structure: PBEsol geometry

a = 5.0867 Å, b = 5.2280 Å, c = 5.2280 Å
α = 120.00°, β = 90.00°, γ = 90.00°
With the nearest neighbours (Å) after each atom.
Fractional coordinates of all 6 atoms:
As  0.0000  0.3333  0.6667  9 As 2.96-3.02, 3 Si 3.02
As  0.0000  0.6667  0.3333  9 As 2.96-3.02, 3 Si 3.02
As  0.5000  0.5000  0.5000  4 As 2.61
As  0.5000  0.5000  0.0000  4 As 2.61
As  0.5000  0.0000  0.5000  4 As 2.61
Si  0.0000  0.0000  0.0000  6 As 3.02

Results
Raw total energy in eV for the cell shown: -106.435
SG: P6/mmm, No. 191

***

# 4
Compound: SiAs3
Source: Alexandria
Functional: meta-GGA SCAN
Structure: PBEsol geometry

a = 2.8255 Å, b = 5.4326 Å, c = 5.4326 Å
α = 117.06°, β = 99.98°, γ = 99.98°
With the nearest neighbours (Å) after each atom.
Fractional coordinates of all 4 atoms:
As  0.0000  0.0000  0.5000  6 As 2.83-2.84, 2 Si 2.84
As  0.5000  0.5000  0.5000  6 As 2.83-2.84, 2 Si 2.84
As  0.0000  0.5000  0.0000  6 As 2.83-2.84, 2 Si 2.84
Si  0.5000  0.0000  0.0000  2 Si 2.83, 6 As 2.84

Results
ΔE to the lowest computed polymorph in eV per formula unit: 0.566
SG: R-3m, No. 166

***

# 5
Compound: SiAs
Source: Alexandria
Functional: meta-GGA SCAN
Structure: PBEsol geometry

a = 2.8286 Å, b = 2.8286 Å, c = 9.6523 Å
α = 90.00°, β = 90.00°, γ = 120.00°
With the nearest neighbours (Å) after each atom.
Fractional coordinates of all 4 atoms:
Si  0.3333  0.6667  0.6122  9 Si 2.71-2.83, 3 As 2.81
Si  0.6667  0.3333  0.3878  9 Si 2.71-2.83, 3 As 2.81
As  0.3333  0.6667  0.1506  3 Si 2.81, 6 As 2.83
As  0.6667  0.3333  0.8494  3 Si 2.81, 6 As 2.83

Results
Raw total energy in eV for the cell shown: -57.954
SG: P-3m1, No. 164

***

# 6
Compound: SiAs3
Source: Alexandria
Functional: meta-GGA SCAN
Structure: PBEsol geometry

a = 3.4117 Å, b = 4.2378 Å, c = 5.7696 Å
α = 111.56°, β = 107.20°, γ = 90.00°
With the nearest neighbours (Å) after each atom.
Fractional coordinates of all 4 atoms:
As  0.5000  0.5000  0.0000  4 Si 2.72, 4 As 2.85-2.87
As  0.3113  0.8142  0.6226  2 Si 2.57, 2 As 2.85-2.87
As  0.6887  0.1858  0.3774  2 Si 2.57, 2 As 2.85-2.87
Si  0.0000  0.0000  0.0000  8 As 2.57-2.72

Results
ΔE to the lowest computed polymorph in eV per formula unit: 0.000
SG: C2/m, No. 12

***

# 7
Compound: SiAs
Source: Alexandria
Functional: meta-GGA SCAN
Structure: PBEsol geometry

a = 4.2864 Å, b = 4.2864 Å, c = 5.9850 Å
α = 69.02°, β = 69.02°, γ = 60.00°
With the nearest neighbours (Å) after each atom.
Fractional coordinates of all 4 atoms:
Si  0.3193  0.3193  0.0422  1 As 2.40, 3 Si 2.52
Si  0.6807  0.6807  0.9578  1 As 2.40, 3 Si 2.52
As  0.1725  0.1725  0.4826  1 Si 2.40, 3 As 2.48
As  0.8275  0.8275  0.5174  1 Si 2.40, 3 As 2.48

Results
Raw total energy in eV for the cell shown: -59.477
SG: R-3m, No. 166

***

# 8
Compound: SiAs
Source: Alexandria
Functional: meta-GGA SCAN
Structure: PBEsol geometry

a = 2.8303 Å, b = 4.7881 Å, c = 5.6420 Å
α = 115.11°, β = 104.53°, γ = 90.00°
With the nearest neighbours (Å) after each atom.
Fractional coordinates of all 4 atoms:
As  0.1092  0.8592  0.2183  6 Si 2.80-2.81, 4 As 2.83-3.11
As  0.8908  0.1408  0.7817  6 Si 2.80-2.81, 4 As 2.83-3.11
Si  0.6382  0.3882  0.2764  4 Si 2.61-2.83, 6 As 2.80-2.81
Si  0.3618  0.6118  0.7236  4 Si 2.61-2.83, 6 As 2.80-2.81

Results
Raw total energy in eV for the cell shown: -58.038
SG: Imma, No. 74

***

# 9
Compound: Si3As4
Source: Alexandria
Functional: meta-GGA SCAN
Structure: PBEsol geometry

a = 5.2903 Å, b = 5.2903 Å, c = 5.2903 Å
α = 90.00°, β = 90.00°, γ = 90.00°
With the nearest neighbours (Å) after each atom.
Fractional coordinates of all 7 atoms:
As  0.7184  0.2816  0.2816  3 Si 2.40
As  0.2816  0.7184  0.2816  3 Si 2.40
As  0.7184  0.7184  0.7184  3 Si 2.40
As  0.2816  0.2816  0.7184  3 Si 2.40
Si  0.0000  0.5000  0.0000  4 As 2.40
Si  0.5000  0.0000  0.0000  4 As 2.40
Si  0.0000  0.0000  0.5000  4 As 2.40

Results
Raw total energy in eV for the cell shown: -111.022
SG: P-43m, No. 215

***

# 10
Compound: Si3As
Source: Alexandria
Functional: meta-GGA SCAN
Structure: PBEsol geometry

a = 4.4825 Å, b = 4.4217 Å, c = 4.4825 Å
α = 120.46°, β = 90.00°, γ = 120.46°
With the nearest neighbours (Å) after each atom.
Fractional coordinates of all 4 atoms:
Si  0.7500  0.5000  0.2500  4 Si 2.72, 4 As 2.72
Si  0.2500  0.5000  0.7500  4 Si 2.72, 4 As 2.72
Si  0.5000  0.0000  0.5000  8 Si 2.72
As  0.0000  0.0000  0.0000  8 Si 2.72

Results
ΔE to the lowest computed polymorph in eV per formula unit: 0.117
SG: I4/mmm, No. 139

***

# 11
Compound: YSi2SnAs
Source: Alexandria
Functional: meta-GGA SCAN
Structure: PBEsol geometry

a = 4.8975 Å, b = 4.8975 Å, c = 5.7749 Å
α = 90.00°, β = 90.00°, γ = 90.00°
With the nearest neighbours (Å) after each atom.
Fractional coordinates of all 5 atoms:
Y  0.0000  0.0000  0.5000  2 Sn 2.89
Si  0.0000  0.5000  0.0000  2 Sn 2.45
Si  0.5000  0.0000  0.0000  2 Sn 2.45
As  0.5000  0.5000  0.5000  4 Y 3.46, 8 Si 3.79
Sn  0.0000  0.0000  0.0000  4 Si 2.45

Results
Raw total energy in eV for the cell shown: -99.524
SG: P4/mmm, No. 123

***

# 12
Compound: SrSiAs2
Source: Alexandria
Functional: meta-GGA SCAN
Structure: PBEsol geometry

a = 3.5678 Å, b = 4.6954 Å, c = 6.0653 Å
α = 112.77°, β = 107.10°, γ = 90.00°
With the nearest neighbours (Å) after each atom.
Fractional coordinates of all 4 atoms:
As  0.9937  0.9937  0.9875  4 Si 2.96, 2 As 3.05
As  0.8096  0.3096  0.6192  2 Si 2.48
Sr  0.2247  0.7247  0.4493  8 As 3.08-3.39, 2 Si 3.22
Si  0.4720  0.4720  0.9441  2 As 2.48

Results
Raw total energy in eV for the cell shown: -73.422
SG: Imm2, No. 44

***

# 13
Compound: Sr3SiAs
Source: Alexandria
Functional: meta-GGA SCAN
Structure: PBEsol geometry

a = 5.7750 Å, b = 5.7750 Å, c = 5.7750 Å
α = 90.00°, β = 90.00°, γ = 90.00°
With the nearest neighbours (Å) after each atom.
Fractional coordinates of all 5 atoms:
Sr  0.0000  0.5000  0.0000  2 As 2.89
Sr  0.0000  0.0000  0.5000  2 As 2.89
Sr  0.5000  0.0000  0.0000  2 As 2.89
Si  0.5000  0.5000  0.5000  12 Sr 4.08
As  0.0000  0.0000  0.0000  6 Sr 2.89

Results
Raw total energy in eV for the cell shown: -99.064
SG: Pm-3m, No. 221